Arrangement i

Density functional theory data (PBE) for a geometry-optimized AsPbNF2 structure.

Its volume is 80.9 Å³ per cell. For the mass density, the calculation gives 6.86 g cm⁻³.

The structure belongs to space group P4/mmm (No. 123); the cell edges are 4.3975, 4.3975 and 4.1837 Å and the angles 90.00°, 90.00° and 90.00°. Symmetry generates all atoms from As at (0.0000, 0.0000, 0.0000), Pb at (0.5000, 0.5000, 0.5000), N at (0.0000, 0.0000, 0.5000) and F at (0.0000, 0.5000, 0.0000).

Arrangement ii

Density functional theory data (PBE) for a geometry-optimized AsPbNF2 structure.

Its volume is 91.8 Å³ per cell. For the mass density, the calculation gives 6.04 g cm⁻³.

The structure belongs to space group P4/mmm (No. 123); the cell edges are 4.4710, 4.4710 and 4.5937 Å and the angles 90.00°, 90.00° and 90.00°. Symmetry generates all atoms from As at (0.0000, 0.0000, 0.0000), Pb at (0.5000, 0.5000, 0.5000), N at (0.5000, 0.5000, 0.0000) and F at (0.0000, 0.5000, 0.5000).

The structure with the least stability is arrangement ii.

Arrangement i

Density functional theory data (PBE) for a geometry-optimized AsPbN2F structure.

Its volume is 80.8 Å³ per cell. For the mass density, the calculation gives 6.76 g cm⁻³.

The structure belongs to space group P4/mmm (No. 123); the cell edges are 4.3622, 4.3622 and 4.2466 Å and the angles 90.00°, 90.00° and 90.00°. Symmetry generates all atoms from As at (0.0000, 0.0000, 0.0000), Pb at (0.5000, 0.5000, 0.5000), N at (0.0000, 0.5000, 0.5000) and F at (0.5000, 0.5000, 0.0000).

Arrangement ii

Density functional theory data (PBE) for a geometry-optimized AsPbN2F structure.

Its volume is 66.8 Å³ per cell. For the mass density, the calculation gives 8.18 g cm⁻³.

The structure belongs to space group P4/mmm (No. 123); the cell edges are 3.9203, 3.9203 and 4.3482 Å and the angles 90.00°, 90.00° and 90.00°. Symmetry generates all atoms from As at (0.0000, 0.0000, 0.0000), Pb at (0.5000, 0.5000, 0.5000), N at (0.0000, 0.5000, 0.0000) and F at (0.0000, 0.0000, 0.5000).

The structure with the least stability is arrangement i.